(1)
Here is crystalline Li2CaCr at its relaxed geometry from Alexandria via LeMat-Bulk. Energies are from GGA-PBE.

Cell: 5.945 5.945 5.212 Å, 65.13 65.13 35.50°
Site moments in Bohr magnetons follow the coordinates.
Positions (direct):
Li 0.975 0.975 0.028  0.00
Li 0.525 0.525 0.472  0.00
Ca 0.750 0.750 0.750  0.04
Cr 0.250 0.250 0.250  3.90

Energy of formation from the pure elements in eV/f.u.: 1.6
Crystal system: monoclinic
Total magnetization in μB/atom: 1.160
Energy relative to the lowest polymorph listed for this composition in eV per atom: 0.003


(2)
Here is crystalline Sm5Dy2Ir4 at its relaxed geometry from Alexandria via LeMat-Bulk. Energies are from GGA-PBE.

Cell: 3.728 6.996 12.275 Å, 100.79 98.73 90.00°
Positions (direct):
Ir 0.028 0.315 0.057
Ir 0.339 0.063 0.678
Ir 0.661 0.937 0.322
Ir 0.972 0.685 0.943
Sm 0.230 0.775 0.461
Sm 0.500 0.000 0.000
Sm 0.866 0.781 0.731
Sm 0.770 0.225 0.539
Sm 0.134 0.219 0.269
Dy 0.084 0.695 0.168
Dy 0.916 0.305 0.832

Energy of formation from the pure elements in eV/f.u.: -4.7
Crystal system: monoclinic
Total magnetization in μB/atom: 0.000


(3)
Here is crystalline FeIr6Rh at its relaxed geometry from Alexandria via LeMat-Bulk. Energies are from GGA-PBE.

Cell: 3.847 3.847 7.666 Å, 90.00 90.00 90.00°
Site moments in Bohr magnetons follow the coordinates.
Positions (direct):
Ir 0.500 0.000 0.254  -0.06
Ir 0.000 0.500 0.254  -0.06
Ir 0.500 0.500 0.000  -0.13
Ir 0.000 0.500 0.746  -0.06
Ir 0.500 0.500 0.500  0.00
Ir 0.500 0.000 0.746  -0.06
Rh 0.000 0.000 0.000  -0.36
Fe 0.000 0.000 0.500  2.40

Energy of formation from the pure elements in eV/f.u.: -0.1
Crystal system: tetragonal
Total magnetization in μB/atom: 0.212


(4)
Here is crystalline CaTc3Bi at its relaxed geometry from Alexandria via LeMat-Bulk. Energies are from GGA-PBE.

Cell: 5.082 5.082 5.082 Å, 90.00 90.00 90.00°
Site moments in Bohr magnetons follow the coordinates.
Positions (direct):
Tc 0.000 0.500 0.000  1.79
Tc 0.500 0.000 0.000  1.43
Tc 0.000 0.000 0.500  2.04
Ca 0.500 0.500 0.500  -0.01
Bi 0.000 0.000 0.000  -0.08

Energy of formation from the pure elements in eV/f.u.: 8.7
Crystal system: cubic
Total magnetization in μB/atom: 1.140
Energy relative to the lowest polymorph listed for this composition in eV per atom: 0.000


(5)
Here is crystalline Hg2Sb at its relaxed geometry from Alexandria via LeMat-Bulk. Energies are from GGA-PBE.

Cell: 4.289 8.047 9.528 Å, 90.00 90.00 90.00°
Positions (direct):
Sb 0.250 0.203 0.165
Sb 0.750 0.297 0.665
Sb 0.250 0.703 0.335
Sb 0.750 0.797 0.835
Hg 0.750 0.434 0.326
Hg 0.750 0.934 0.174
Hg 0.250 0.066 0.826
Hg 0.250 0.638 0.025
Hg 0.250 0.566 0.674
Hg 0.750 0.862 0.525
Hg 0.250 0.138 0.475
Hg 0.750 0.362 0.975

Crystal system: orthorhombic
Uncorrected formation energy in eV/atom: 0.1311
Total magnetization in μB/atom: 0.000
Energy relative to the lowest polymorph listed for this composition in eV per atom: 0.034


(6)
Here is crystalline TcSnB3 at its relaxed geometry from Alexandria via LeMat-Bulk. Energies are from GGA-PBE.

Cell: 4.303 4.303 4.303 Å, 90.00 90.00 90.00°
Positions (direct):
B 0.000 0.500 0.000
B 0.500 0.000 0.000
B 0.000 0.000 0.500
Tc 0.500 0.500 0.500
Sn 0.000 0.000 0.000

Energy of formation from the pure elements in eV/f.u.: 13.7
Crystal system: cubic
Total magnetization in μB/atom: 0.000
Energy relative to the lowest polymorph listed for this composition in eV per atom: 1.753


(7)
Here is crystalline CsNaSnHg2 at its relaxed geometry from Alexandria via LeMat-Bulk. Energies are from GGA-PBE.

Cell: 5.993 5.993 5.897 Å, 90.00 90.00 90.00°
Positions (direct):
Sn 0.000 0.000 0.000
Cs 0.500 0.500 0.500
Na 0.000 0.000 0.500
Hg 0.500 0.000 0.000
Hg 0.000 0.500 0.000

Energy of formation from the pure elements in eV/f.u.: -0.6
Crystal system: tetragonal
Total magnetization in μB/atom: 0.000


(8)
Here is crystalline Ta2WBr at its relaxed geometry from Alexandria via LeMat-Bulk. Energies are from GGA-PBE.

Cell: 2.881 4.459 5.671 Å, 90.00 90.00 90.00°
Positions (direct):
Br 0.500 0.500 0.750
Ta 0.000 0.000 0.014
Ta 0.000 0.000 0.486
W 0.500 0.500 0.250

Crystal system: orthorhombic
Uncorrected formation energy in eV/atom: 0.6922
Total magnetization in μB/atom: 0.000
Energy relative to the lowest polymorph listed for this composition in eV per atom: 0.523


(9)
Here is crystalline Lu5In4Ni2 at its relaxed geometry from Alexandria via LeMat-Bulk. Energies are from GGA-PBE.

Cell: 3.551 7.852 17.638 Å, 90.00 90.00 90.00°
Positions (direct):
In 0.500 0.795 0.932
In 0.500 0.573 0.151
In 0.500 0.205 0.068
In 0.500 0.295 0.568
In 0.500 0.427 0.849
In 0.500 0.927 0.651
In 0.500 0.073 0.349
In 0.500 0.705 0.432
Lu 0.000 0.752 0.279
Lu 0.000 0.616 0.589
Lu 0.000 0.252 0.221
Lu 0.000 0.500 0.000
Lu 0.000 0.884 0.089
Lu 0.000 0.384 0.411
Lu 0.000 0.000 0.500
Lu 0.000 0.116 0.911
Lu 0.000 0.248 0.721
Lu 0.000 0.748 0.779
Ni 0.500 0.028 0.804
Ni 0.500 0.528 0.696
Ni 0.500 0.472 0.304
Ni 0.500 0.972 0.196

Energy of formation from the pure elements in eV/f.u.: -5.7
Crystal system: orthorhombic
Total magnetization in μB/atom: 0.000


(10)
Here is crystalline PuMo2N4 at its relaxed geometry from Alexandria via LeMat-Bulk. Energies are from GGA-PBE.

Cell: 3.265 5.217 9.922 Å, 90.00 90.00 108.24°
Site moments in Bohr magnetons follow the coordinates.
Positions (direct):
Pu 0.382 0.764 0.250  4.52
Pu 0.618 0.236 0.750  4.52
N 0.935 0.870 0.750  -0.05
N 0.236 0.472 0.612  -0.09
N 0.764 0.528 0.112  -0.09
N 0.500 0.000 0.500  -0.03
N 0.065 0.130 0.250  -0.05
N 0.764 0.528 0.388  -0.09
N 0.500 0.000 0.000  -0.03
N 0.236 0.472 0.888  -0.09
Mo 0.117 0.234 0.057  -0.01
Mo 0.883 0.766 0.943  -0.01
Mo 0.117 0.234 0.443  -0.01
Mo 0.883 0.766 0.557  -0.01

Crystal system: orthorhombic
Uncorrected formation energy in eV/atom: -0.6221
Total magnetization in μB/atom: 0.612


(11)
Here is crystalline CsTe3Se2 at its relaxed geometry from Alexandria via LeMat-Bulk. Energies are from GGA-PBE.

Cell: 6.438 13.158 12.912 Å, 49.86 136.20 138.06°
Positions (direct):
Te 0.223 0.202 0.439
Te 0.717 0.511 0.327
Te 0.844 0.411 0.908
Te 0.156 0.589 0.092
Te 0.777 0.798 0.561
Te 0.283 0.489 0.673
Se 0.637 0.143 0.088
Se 0.649 0.212 0.731
Se 0.351 0.788 0.269
Se 0.363 0.857 0.912
Cs 0.832 0.988 0.750
Cs 0.168 0.012 0.250

Crystal system: triclinic
Uncorrected formation energy in eV/atom: -0.3100
Total magnetization in μB/atom: 0.000


(12)
Here is crystalline Tc3P at its relaxed geometry from Alexandria via LeMat-Bulk. Energies are from GGA-PBE.

Cell: 3.929 2.818 5.182 Å, 76.79 90.00 90.00°
Positions (direct):
Tc 0.500 0.371 0.766
Tc 0.000 0.000 0.500
Tc 0.500 0.629 0.234
P 0.000 0.000 0.000

Energy of formation from the pure elements in eV/f.u.: -0.4
Crystal system: monoclinic
Total magnetization in μB/atom: 0.000
Energy relative to the lowest polymorph listed for this composition in eV per atom: 0.247